(1)
VASP calculation (PBE-GGA) on a relaxed ErCdHgGe crystal.

Unit cell a=5.0354 b=5.0354 c=5.0354 alpha=60.00 beta=60.00 gamma=60.00
Positions (direct):
Er: 0.0000 0.0000 0.0000
Cd: 0.5000 0.5000 0.5000
Hg: 0.2500 0.2500 0.2500
Ge: 0.7500 0.7500 0.7500

* total moment: 0.00 μB/atom
* Fermi-level density of states: 3.49 states/eV/f.u.
* VASP energy: -11.4 eV per formula unit
* ΔH_f (0 K): -0.24 eV per atom
* SG: F-43m, No. 216

---

(2)
VASP calculation (PBE-GGA) on a relaxed HoErCdGe crystal.

Unit cell a=5.1115 b=5.1115 c=5.1115 alpha=60.00 beta=60.00 gamma=60.00
Positions (direct):
Ho: 0.0000 0.0000 0.0000
Er: 0.5000 0.5000 0.5000
Cd: 0.7500 0.7500 0.7500
Ge: 0.2500 0.2500 0.2500

* total moment: 0.00 μB/atom
* Fermi-level density of states: 3.35 states/eV/f.u.
* VASP energy: -16.5 eV per formula unit
* ΔH_f (0 K): -0.45 eV per atom
* SG: F-43m, No. 216

---

(3)
VASP calculation (PBE-GGA) on a relaxed NaErCdGe crystal.

Unit cell a=5.0741 b=5.0741 c=5.0741 alpha=60.00 beta=60.00 gamma=60.00
Positions (direct):
Na: 0.0000 0.0000 0.0000
Er: 0.5000 0.5000 0.5000
Cd: 0.2500 0.2500 0.2500
Ge: 0.7500 0.7500 0.7500

* total moment: 0.00 μB/atom
* Fermi-level density of states: 1.36 states/eV/f.u.
* VASP energy: -12.5 eV per formula unit
* ΔH_f (0 K): -0.28 eV per atom
* SG: F-43m, No. 216

---

Question: Which of these has the highest VASP energy?
Answer: ErCdHgGe